1.
Material: Ac2CdIn4
Method: DFT, PBE
State: relaxed

a = 6.0326 Å, b = 6.0326 Å, c = 9.1638 Å
α = 119.25°, β = 119.25°, γ = 60.50°
Last column: nearest neighbours and their distance in Å.
Sites, in units of the cell vectors:
Ac 0.3692 0.3692 0.7337  8 In 3.42-3.64, 2 Cd 3.64
In 0.9917 0.9917 0.6560  3 In 2.96-3.15, 1 Cd 3.10
In 0.0000 0.5000 0.0000  2 Cd 3.02, 4 In 3.04-3.15
Ac 0.6308 0.6308 0.2663  8 In 3.42-3.64, 2 Cd 3.64
In 0.5000 0.0000 0.0000  2 Cd 3.02, 4 In 3.04-3.15
Cd 0.0000 0.0000 0.0000  6 In 3.02-3.10
In 0.0083 0.0083 0.3440  3 In 2.96-3.15, 1 Cd 3.10

Calculated values
total DFT energy (no corrections) = -3.093 eV per atom
density of states at the Fermi level = 0.573 states/eV per atom

2.
Material: Ac3Cd3In
Method: DFT, PBE
State: relaxed

a = 5.0228 Å, b = 6.4723 Å, c = 15.7408 Å
α = 84.44°, β = 80.82°, γ = 67.17°
Last column: nearest neighbours and their distance in Å.
Sites, in units of the cell vectors:
Ac 0.2495 0.2751 0.2259  6 Cd 3.40-3.65, 2 In 3.69
Cd 0.0380 0.1556 0.7683  1 In 2.97, 1 Cd 2.97
Cd 0.1318 0.2758 0.4606  3 In 2.93-3.19, 1 Cd 2.98
Cd 0.8682 0.7242 0.5394  3 In 2.93-3.19, 1 Cd 2.98
Ac 0.3970 0.2836 0.9224  7 Cd 3.40-3.59
In 0.7517 0.1063 0.3904  4 Cd 2.93-3.19
Cd 0.9620 0.8444 0.2317  1 In 2.97, 1 Cd 2.97
Ac 0.6030 0.7164 0.0776  7 Cd 3.40-3.59
Cd 0.1109 0.8534 0.9248  2 Cd 2.97
In 0.2483 0.8937 0.6096  4 Cd 2.93-3.19
Ac 0.7505 0.7249 0.7741  6 Cd 3.40-3.65, 2 In 3.69
Ac 0.5425 0.3011 0.6139  7 Cd 3.47-3.71, 4 In 3.50-3.70
Cd 0.8891 0.1466 0.0752  2 Cd 2.97
Ac 0.4575 0.6989 0.3861  7 Cd 3.47-3.71, 4 In 3.50-3.70

Calculated values
total DFT energy (no corrections) = -2.854 eV per atom
density of states at the Fermi level = 1.105 states/eV per atom

3.
Material: AcCd3In3
Method: DFT, PBE
State: relaxed

a = 7.8195 Å, b = 7.8195 Å, c = 7.8195 Å
α = 90.00°, β = 90.00°, γ = 90.00°
Last column: nearest neighbours and their distance in Å.
Sites, in units of the cell vectors:
In 0.7500 0.5000 0.0000  4 Cd 2.76
Cd 0.5000 0.2500 0.0000  4 In 2.76
In 0.5000 0.0000 0.2500  4 Cd 2.76
In 0.0000 0.7500 0.5000  4 Cd 2.76
Cd 0.5000 0.7500 0.0000  4 In 2.76
Cd 0.2500 0.0000 0.5000  4 In 2.76
Cd 0.7500 0.0000 0.5000  4 In 2.76
Cd 0.0000 0.5000 0.2500  4 In 2.76
In 0.0000 0.2500 0.5000  4 Cd 2.76
In 0.2500 0.5000 0.0000  4 Cd 2.76
Ac 0.0000 0.0000 0.0000  12 In 4.37, 12 Cd 4.37
Cd 0.0000 0.5000 0.7500  4 In 2.76
Ac 0.5000 0.5000 0.5000  12 Cd 4.37, 12 In 4.37
In 0.5000 0.0000 0.7500  4 Cd 2.76

Calculated values
total DFT energy (no corrections) = -1.938 eV per atom
density of states at the Fermi level = 0.505 states/eV per atom

4.
Material: Ac2CdIn2
Method: DFT, PBE
State: relaxed

a = 5.0979 Å, b = 6.5362 Å, c = 10.9386 Å
α = 86.68°, β = 76.52°, γ = 67.05°
Last column: nearest neighbours and their distance in Å.
Sites, in units of the cell vectors:
In 0.3619 0.1597 0.1165  1 Cd 2.96, 1 In 3.08
Ac 0.9175 0.2631 0.9018  6 In 3.49-3.61, 2 Cd 3.77, 1 Ac 3.86
In 0.0785 0.2804 0.5627  3 Cd 2.94-3.19, 1 In 3.01
Ac 0.3175 0.6968 0.6681  7 In 3.51-3.73, 4 Cd 3.53-3.67
In 0.6381 0.8403 0.8835  1 Cd 2.96, 1 In 3.08
Cd 0.6227 0.1013 0.6532  4 In 2.94-3.19
Ac 0.6825 0.3032 0.3319  7 In 3.51-3.73, 4 Cd 3.53-3.67
Cd 0.3773 0.8987 0.3468  4 In 2.94-3.19
Ac 0.0825 0.7369 0.0982  6 In 3.49-3.61, 2 Cd 3.77, 1 Ac 3.86
In 0.9216 0.7196 0.4373  3 Cd 2.94-3.19, 1 In 3.01

Calculated values
total DFT energy (no corrections) = -3.357 eV per atom
density of states at the Fermi level = 0.697 states/eV per atom

5.
Material: AcCdIn3
Method: DFT, PBE
State: relaxed

a = 6.4644 Å, b = 7.2522 Å, c = 7.2517 Å
α = 120.01°, β = 90.00°, γ = 90.00°
Last column: nearest neighbours and their distance in Å.
Sites, in units of the cell vectors:
Ac 0.2501 0.3333 0.6666  12 In 3.64-3.66
Cd 0.5000 0.0000 0.0000  6 In 2.95, 2 Cd 3.23
In 0.2499 0.8037 0.1962  2 Cd 2.95, 2 In 2.98
Ac 0.7499 0.6667 0.3334  12 In 3.64-3.66
In 0.7501 0.1962 0.3924  2 Cd 2.95, 2 In 2.98
In 0.7501 0.1963 0.8038  2 Cd 2.95, 2 In 2.98
In 0.2499 0.8038 0.6076  2 Cd 2.95, 2 In 2.98
Cd 0.0000 0.0000 0.0000  6 In 2.95, 2 Cd 3.23
In 0.2499 0.3924 0.1962  2 Cd 2.95, 2 In 2.98
In 0.7501 0.6076 0.8038  2 Cd 2.95, 2 In 2.98

Calculated values
total DFT energy (no corrections) = -2.836 eV per atom
density of states at the Fermi level = 0.462 states/eV per atom

6.
Material: AcCd6In2
Method: DFT, PBE
State: relaxed

a = 4.6830 Å, b = 4.6830 Å, c = 10.4008 Å
α = 90.00°, β = 90.00°, γ = 90.00°
Last column: nearest neighbours and their distance in Å.
Sites, in units of the cell vectors:
Cd 0.0000 0.5000 0.3026  2 In 2.92, 4 Cd 3.11
In 0.5000 0.5000 0.8645  1 In 2.82, 4 Cd 2.92
In 0.5000 0.5000 0.1355  1 In 2.82, 4 Cd 2.92
Ac 0.0000 0.0000 0.0000  8 In 3.60, 8 Cd 3.92
Cd 0.0000 0.5000 0.6974  2 In 2.92, 4 Cd 3.11
Cd 0.5000 0.0000 0.6974  2 In 2.92, 4 Cd 3.11
Cd 0.5000 0.0000 0.3026  2 In 2.92, 4 Cd 3.11
Cd 0.5000 0.5000 0.5000  12 Cd 3.11-3.31
Cd 0.0000 0.0000 0.5000  12 Cd 3.11-3.31

Calculated values
total DFT energy (no corrections) = -1.829 eV per atom
density of states at the Fermi level = 0.367 states/eV per atom

7.
Material: Ac12CdIn6
Method: DFT, PBE
State: relaxed

a = 9.7893 Å, b = 9.7893 Å, c = 9.7893 Å
α = 107.58°, β = 107.58°, γ = 107.58°
Last column: nearest neighbours and their distance in Å.
Sites, in units of the cell vectors:
Ac 0.5499 0.9009 0.6525  3 In 3.34-3.50
Ac 0.1116 0.6828 0.9766  3 In 3.34-3.53, 1 Cd 3.56
Ac 0.4501 0.0991 0.3475  3 In 3.34-3.50
Ac 0.0991 0.3475 0.4501  3 In 3.34-3.50
Cd 0.0000 0.0000 0.0000  6 Ac 3.56
In 0.3383 0.2021 0.6485  6 Ac 3.34-3.53
In 0.3515 0.6617 0.7979  6 Ac 3.34-3.53
Ac 0.8884 0.3172 0.0234  3 In 3.34-3.53, 1 Cd 3.56
Ac 0.3475 0.4501 0.0991  3 In 3.34-3.50
In 0.7979 0.3515 0.6617  6 Ac 3.34-3.53
Ac 0.6828 0.9766 0.1116  3 In 3.34-3.53, 1 Cd 3.56
In 0.6617 0.7979 0.3515  6 Ac 3.34-3.53
Ac 0.3172 0.0234 0.8884  3 In 3.34-3.53, 1 Cd 3.56
In 0.2021 0.6485 0.3383  6 Ac 3.34-3.53
In 0.6485 0.3383 0.2021  6 Ac 3.34-3.53
Ac 0.9766 0.1116 0.6828  3 In 3.34-3.53, 1 Cd 3.56
Ac 0.0234 0.8884 0.3172  3 In 3.34-3.53, 1 Cd 3.56
Ac 0.9009 0.6525 0.5499  3 In 3.34-3.50
Ac 0.6525 0.5499 0.9009  3 In 3.34-3.50

Calculated values
total DFT energy (no corrections) = -3.607 eV per atom
density of states at the Fermi level = 1.234 states/eV per atom

8.
Material: Ac3Cd9In2
Method: DFT, PBE
State: relaxed

a = 5.0214 Å, b = 9.3038 Å, c = 9.3038 Å
α = 68.97°, β = 74.34°, γ = 74.34°
Last column: nearest neighbours and their distance in Å.
Sites, in units of the cell vectors:
Cd 0.8569 0.4225 0.8637  4 Cd 2.94-3.11, 2 In 3.27
Cd 0.6582 0.9766 0.7070  4 Cd 2.84-3.02, 1 In 2.93
Cd 0.8569 0.8637 0.4225  4 Cd 2.94-3.11, 2 In 3.27
Cd 0.6582 0.7070 0.9766  4 Cd 2.84-3.02, 1 In 2.93
Ac 0.0000 0.0000 0.0000  12 Cd 3.60-3.68
Ac 0.7008 0.2992 0.2992  14 Cd 3.52-3.90, 2 In 3.54
Ac 0.2992 0.7008 0.7008  14 Cd 3.52-3.90, 2 In 3.54
Cd 0.1431 0.5775 0.1363  4 Cd 2.94-3.11, 2 In 3.27
In 0.5000 0.6918 0.3082  8 Cd 2.93-3.27
Cd 0.3418 0.2930 0.0234  4 Cd 2.84-3.02, 1 In 2.93
Cd 0.1431 0.1363 0.5775  4 Cd 2.94-3.11, 2 In 3.27
Cd 0.0000 0.5000 0.5000  4 Cd 3.11, 4 In 3.22
In 0.5000 0.3082 0.6918  8 Cd 2.93-3.27
Cd 0.3418 0.0234 0.2930  4 Cd 2.84-3.02, 1 In 2.93

Calculated values
total DFT energy (no corrections) = -2.159 eV per atom
density of states at the Fermi level = 0.657 states/eV per atom

9.
Material: Ac3Cd8In3
Method: DFT, PBE
State: relaxed

a = 4.9690 Å, b = 9.3287 Å, c = 9.3287 Å
α = 70.78°, β = 74.55°, γ = 74.55°
Last column: nearest neighbours and their distance in Å.
Sites, in units of the cell vectors:
Cd 0.6432 0.6302 0.0834  3 Cd 2.93-2.98, 3 In 3.20-3.23
Cd 0.3568 0.3698 0.9166  3 Cd 2.93-2.98, 3 In 3.20-3.23
Cd 0.8378 0.5310 0.7933  4 Cd 2.83-2.98, 1 In 2.92
In 0.0000 0.2060 0.7940  6 Cd 2.92-3.23
In 0.5000 0.0000 0.0000  4 Cd 3.20, 4 In 3.34
Ac 0.5000 0.5000 0.5000  12 Cd 3.60-3.69
Ac 0.8079 0.1921 0.1921  10 Cd 3.55-3.79, 4 In 3.55-3.71
Cd 0.8378 0.7933 0.5310  4 Cd 2.83-2.98, 1 In 2.92
In 0.0000 0.7940 0.2060  6 Cd 2.92-3.23
Cd 0.1622 0.2067 0.4690  4 Cd 2.83-2.98, 1 In 2.92
Cd 0.6432 0.0834 0.6302  3 Cd 2.93-2.98, 3 In 3.20-3.23
Cd 0.3568 0.9166 0.3698  3 Cd 2.93-2.98, 3 In 3.20-3.23
Cd 0.1622 0.4690 0.2067  4 Cd 2.83-2.98, 1 In 2.92
Ac 0.1921 0.8079 0.8079  10 Cd 3.55-3.79, 4 In 3.55-3.71

Calculated values
total DFT energy (no corrections) = -2.303 eV per atom
density of states at the Fermi level = 0.490 states/eV per atom

10.
Material: Ac4CdIn12
Method: DFT, PBE
State: relaxed

a = 8.6445 Å, b = 8.6445 Å, c = 8.6445 Å
α = 109.47°, β = 109.47°, γ = 109.47°
Last column: nearest neighbours and their distance in Å.
Sites, in units of the cell vectors:
In 0.7500 0.5000 0.2500  8 In 3.17-3.53, 4 Ac 3.53
In 0.6966 0.0000 0.6966  1 Cd 3.03, 4 In 3.17
In 0.0000 0.6966 0.6966  1 Cd 3.03, 4 In 3.17
In 0.2500 0.5000 0.7500  8 In 3.17-3.53, 4 Ac 3.53
Ac 0.5000 0.0000 0.0000  12 In 3.53-3.57
In 0.0000 0.3034 0.3034  1 Cd 3.03, 4 In 3.17
Cd 0.0000 0.0000 0.0000  6 In 3.03
Ac 0.5000 0.5000 0.5000  12 In 3.53-3.57
In 0.5000 0.2500 0.7500  8 In 3.17-3.53, 4 Ac 3.53
In 0.3034 0.0000 0.3034  1 Cd 3.03, 4 In 3.17
In 0.5000 0.7500 0.2500  8 In 3.17-3.53, 4 Ac 3.53
In 0.6966 0.6966 0.0000  1 Cd 3.03, 4 In 3.17
In 0.3034 0.3034 0.0000  1 Cd 3.03, 4 In 3.17
In 0.2500 0.7500 0.5000  8 In 3.17-3.53, 4 Ac 3.53
Ac 0.0000 0.5000 0.0000  12 In 3.53-3.57
Ac 0.0000 0.0000 0.5000  12 In 3.53-3.57
In 0.7500 0.2500 0.5000  8 In 3.17-3.53, 4 Ac 3.53

Calculated values
total DFT energy (no corrections) = -3.337 eV per atom
density of states at the Fermi level = 0.444 states/eV per atom